1.
# PrHo6Tm3

A relaxed PrHo6Tm3 crystal (PBE-GGA, the Alexandria database).

Computed properties:
* total moment: 0.01 μB/f.u.
* ΔH_f (0 K): 0.275 eV/atom

Unit cell a=9.7305 b=9.7305 c=6.8435 alpha=44.69 beta=44.69 gamma=60.00
Sites, in units of the cell vectors:
Pr 0.8994 0.8994 0.3017
Ho 0.9022 0.5646 0.2968
Ho 0.2365 0.9022 0.2968
Ho 0.5646 0.2365 0.2968
Ho 0.0689 0.4026 0.7955
Ho 0.7330 0.0689 0.7955
Ho 0.4026 0.7330 0.7955
Tm 0.3982 0.3982 0.8053
Tm 0.6434 0.6434 0.0699
Tm 0.1513 0.1513 0.5462

2.
# Ac2SnF

A relaxed Ac2SnF crystal (PBE-GGA, the Alexandria database).

Computed properties:
* total moment: 0.00 μB/f.u.
* formation energy (no corrections): -1463.7 meV per atom

Unit cell a=4.6340 b=4.6340 c=7.1526 alpha=71.10 beta=71.10 gamma=60.00
Sites, in units of the cell vectors:
Ac 0.7596 0.7596 0.7213
Ac 0.2404 0.2404 0.2787
Sn 0.0000 0.0000 0.0000
F 0.5000 0.5000 0.5000

3.
# Tb7SmDy12

A relaxed Tb7SmDy12 crystal (PBE-GGA, the Alexandria database).

Computed properties:
* total moment: 0.00 μB/f.u.
* ΔH_f (0 K): 0.692 eV/atom

Unit cell a=9.7428 b=9.7428 c=9.7428 alpha=109.47 beta=109.47 gamma=109.47
Sites, in units of the cell vectors:
Tb 0.5000 0.5000 0.0000
Tb 0.0000 0.5000 0.5000
Tb 0.5000 0.0000 0.5000
Tb 0.5000 0.5000 0.5000
Tb 0.0000 0.0000 0.5000
Tb 0.5000 0.0000 0.0000
Tb 0.0000 0.5000 0.0000
Sm 0.0000 0.0000 0.0000
Dy 0.4960 0.7478 0.7481
Dy 0.9997 0.7478 0.2519
Dy 0.5040 0.2522 0.2519
Dy 0.0003 0.2522 0.7481
Dy 0.7481 0.0003 0.2522
Dy 0.7481 0.4960 0.7478
Dy 0.2519 0.9997 0.7478
Dy 0.2519 0.5040 0.2522
Dy 0.7478 0.7481 0.4960
Dy 0.2522 0.2519 0.5040
Dy 0.7478 0.2519 0.9997
Dy 0.2522 0.7481 0.0003

4.
# TaTl2Si

A relaxed TaTl2Si crystal (PBE-GGA, the Alexandria database).

Computed properties:
* total moment: 0.00 μB/f.u.
* formation energy (no corrections): 279.5 meV per atom

Unit cell a=8.1502 b=8.1502 c=4.2807 alpha=74.75 beta=74.75 gamma=21.11
Sites, in units of the cell vectors:
Si 0.2500 0.2500 0.2500
Ta 0.7500 0.7500 0.7500
Tl 0.0720 0.0720 0.9279
Tl 0.4280 0.4280 0.5721

5.
# GaTeSeN2

A relaxed GaTeSeN2 crystal (PBE-GGA, the Alexandria database).

Computed properties:
* total moment: 3.62 μB/f.u.
* formation energy (no corrections): 1225.4 meV per atom

Unit cell a=4.0136 b=4.0136 c=5.8152 alpha=90.00 beta=90.00 gamma=90.00
Sites, in units of the cell vectors:
Te 0.5000 0.5000 0.5000
Ga 0.0000 0.0000 0.0000
Se 0.0000 0.0000 0.5000
N 0.0000 0.5000 0.0000
N 0.5000 0.0000 0.0000

6.
# ThPaCrS6

A relaxed ThPaCrS6 crystal (PBE-GGA, the Alexandria database).

Computed properties:
* total moment: 2.99 μB/f.u.
* formation energy (no corrections): -1288.6 meV per atom

Unit cell a=5.9621 b=6.4659 c=6.4659 alpha=120.00 beta=90.00 gamma=90.00
Sites, in units of the cell vectors:
Th 0.5000 0.6667 0.3333
Pa 0.0000 0.3333 0.6667
Cr 0.5000 0.0000 0.0000
S 0.7430 0.6882 0.7070
S 0.7430 0.2930 0.9812
S 0.7430 0.0188 0.3118
S 0.2570 0.2930 0.3118
S 0.2570 0.6882 0.9812
S 0.2570 0.0188 0.7070

7.
# Hg4AsI4

A relaxed Hg4AsI4 crystal (PBE-GGA, the Alexandria database).

Computed properties:
* total moment: 0.00 μB/f.u.
* formation energy (no corrections): -144.1 meV per atom

Unit cell a=6.9684 b=10.3315 c=10.3315 alpha=90.00 beta=90.00 gamma=90.00
Sites, in units of the cell vectors:
Hg 0.0207 0.7868 0.5533
Hg 0.0207 0.7132 0.9467
Hg 0.5207 0.4467 0.2868
Hg 0.5207 0.0533 0.2132
Hg 0.9793 0.2132 0.4467
Hg 0.9793 0.2868 0.0533
Hg 0.4793 0.5533 0.7132
Hg 0.4793 0.9467 0.7868
As 0.7500 0.2500 0.2500
As 0.2500 0.7500 0.7500
I 0.1766 0.5544 0.1781
I 0.1766 0.9456 0.3219
I 0.6766 0.8219 0.0544
I 0.6766 0.6781 0.4456
I 0.8234 0.4456 0.8219
I 0.8234 0.0544 0.6781
I 0.3234 0.1781 0.9456
I 0.3234 0.3219 0.5544

8.
# Y3Ta

A relaxed Y3Ta crystal (PBE-GGA, the Alexandria database).

Computed properties:
* total moment: 0.00 μB/f.u.
* ΔH_f (0 K): 0.327 eV/atom

Unit cell a=5.9809 b=6.4045 c=3.3872 alpha=74.67 beta=90.00 gamma=117.84
Sites, in units of the cell vectors:
Ta 0.0108 0.0000 0.0000
Y 0.0722 0.4704 0.2648
Y 0.4818 0.0000 0.5000
Y 0.6018 0.5296 0.7352

9.
# ZnBiSb2

A relaxed ZnBiSb2 crystal (PBE-GGA, the Alexandria database).

Computed properties:
* total moment: 0.00 μB/f.u.
* formation energy (no corrections): 248.5 meV per atom

Unit cell a=5.3252 b=5.3252 c=5.3252 alpha=60.00 beta=60.00 gamma=60.00
Sites, in units of the cell vectors:
Sb 0.2500 0.2500 0.2500
Sb 0.7500 0.7500 0.7500
Zn 0.0000 0.0000 0.0000
Bi 0.5000 0.5000 0.5000

10.
# V13Fe3

A relaxed V13Fe3 crystal (PBE-GGA, the Alexandria database).

Computed properties:
* total moment: 0.00 μB/f.u.
* ΔH_f (0 K): -0.105 eV/atom

Unit cell a=5.8704 b=5.8704 c=5.8778 alpha=90.00 beta=90.00 gamma=89.94
Sites, in units of the cell vectors:
V 0.5033 0.0035 0.2473
V 0.5013 0.4987 0.2476
V 0.9965 0.4967 0.2473
V 0.7569 0.7613 0.0000
V 0.2387 0.2431 0.0000
V 0.2476 0.7524 0.0000
V 0.5033 0.0035 0.7527
V 0.5013 0.4987 0.7524
V 0.9965 0.4967 0.7527
V 0.7575 0.2425 0.5000
V 0.7543 0.7499 0.5000
V 0.2501 0.2457 0.5000
V 0.2481 0.7519 0.5000
Fe 0.0016 0.9984 0.2521
Fe 0.7413 0.2587 0.0000
Fe 0.0016 0.9984 0.7479

11.
# Sr3Se2F

A relaxed Sr3Se2F crystal (PBE-GGA, the Alexandria database).

Computed properties:
* total moment: 0.00 μB/f.u.
* formation energy (no corrections): -2137.9 meV per atom

Unit cell a=4.2957 b=6.1559 c=7.3936 alpha=114.60 beta=106.89 gamma=90.00
Sites, in units of the cell vectors:
Sr 0.3435 0.3435 0.6869
Sr 0.0000 0.0000 0.0000
Sr 0.6565 0.6565 0.3131
Se 0.6711 0.1711 0.3422
Se 0.3289 0.8289 0.6578
F 0.0000 0.5000 0.0000

12.
# Na12Hg3I5

A relaxed Na12Hg3I5 crystal (PBE-GGA, the Alexandria database).

Computed properties:
* total moment: 0.02 μB/f.u.
* formation energy (no corrections): -541.0 meV per atom

Unit cell a=16.1137 b=16.1137 c=16.1137 alpha=109.47 beta=109.47 gamma=109.47
Sites, in units of the cell vectors:
Hg 0.7500 0.3750 0.1250
Hg 0.8750 0.7500 0.1250
Hg 0.3750 0.7500 0.6250
Hg 0.2500 0.1250 0.3750
Hg 0.8750 0.1250 0.2500
Hg 0.3750 0.6250 0.2500
Hg 0.6250 0.3750 0.7500
Hg 0.1250 0.8750 0.7500
Hg 0.7500 0.8750 0.6250
Hg 0.6250 0.2500 0.3750
Hg 0.1250 0.2500 0.8750
Hg 0.2500 0.6250 0.8750
I 0.1250 0.3750 0.2500
I 0.0000 0.5000 0.0000
I 0.0000 0.0000 0.0000
I 0.3750 0.2500 0.1250
I 0.5000 0.0000 0.5000
I 0.5000 0.5000 0.0000
I 0.1250 0.7500 0.3750
I 0.7500 0.1250 0.8750
I 0.7500 0.6250 0.3750
I 0.3750 0.1250 0.7500
I 0.6250 0.8750 0.2500
I 0.5000 0.5000 0.5000
I 0.5000 0.0000 0.0000
I 0.0000 0.0000 0.5000
I 0.2500 0.3750 0.6250
I 0.2500 0.8750 0.1250
I 0.0000 0.5000 0.5000
I 0.8750 0.2500 0.6250
I 0.6250 0.7500 0.8750
I 0.8750 0.6250 0.7500
Na 0.7279 0.1449 0.0630
Na 0.3351 0.5630 0.4180
Na 0.9370 0.3551 0.2721
Na 0.5630 0.2279 0.1449
Na 0.5830 0.7279 0.6649
Na 0.9370 0.5820 0.1649
Na 0.3351 0.7721 0.4170
Na 0.0820 0.9170 0.1449
Na 0.5820 0.9370 0.6649
Na 0.7279 0.5830 0.1649
Na 0.7721 0.4370 0.3551
Na 0.8351 0.9180 0.0630
Na 0.1449 0.7279 0.5630
Na 0.3551 0.4180 0.0830
Na 0.0830 0.9180 0.3551
Na 0.4170 0.1449 0.5820
Na 0.0830 0.1649 0.2279
Na 0.4370 0.6649 0.0820
Na 0.8351 0.9170 0.2721
Na 0.1449 0.4170 0.0820
Na 0.3551 0.9370 0.7721
Na 0.5820 0.6449 0.4170
Na 0.9180 0.8351 0.5630
Na 0.7721 0.3351 0.9170
Na 0.4180 0.3551 0.5830
Na 0.0820 0.1649 0.4370
Na 0.2279 0.6649 0.0830
Na 0.1649 0.0830 0.7279
Na 0.6449 0.0630 0.2279
Na 0.8551 0.5830 0.9180
Na 0.5630 0.3351 0.9180
Na 0.5830 0.8551 0.4180
Na 0.9170 0.8351 0.7721
Na 0.9170 0.0820 0.6449
Na 0.8551 0.2721 0.4370
Na 0.1649 0.0820 0.9370
Na 0.6449 0.5820 0.9170
Na 0.4180 0.0630 0.3351
Na 0.2721 0.4170 0.8351
Na 0.2279 0.5630 0.6449
Na 0.9180 0.0830 0.8551
Na 0.6649 0.2279 0.5830
Na 0.4370 0.7721 0.8551
Na 0.0630 0.4180 0.8351
Na 0.4170 0.2721 0.3351
Na 0.0630 0.6449 0.7279
Na 0.6649 0.4370 0.5820
Na 0.2721 0.8551 0.9370

13.
# ZnCd3Si

A relaxed ZnCd3Si crystal (PBE-GGA, the Alexandria database).

Computed properties:
* total moment: 0.00 μB/f.u.
* formation energy (no corrections): 446.6 meV per atom

Unit cell a=5.1904 b=5.1904 c=5.1904 alpha=90.00 beta=90.00 gamma=90.00
Sites, in units of the cell vectors:
Zn 0.5000 0.5000 0.5000
Si 0.0000 0.0000 0.0000
Cd 0.0000 0.5000 0.0000
Cd 0.0000 0.0000 0.5000
Cd 0.5000 0.0000 0.0000

14.
# Nd3Th2PaP6

A relaxed Nd3Th2PaP6 crystal (PBE-GGA, the Alexandria database).

Computed properties:
* total moment: 0.00 μB/f.u.
* ΔH_f (0 K): -1.519 eV/atom

Unit cell a=7.1431 b=7.1431 c=7.1406 alpha=99.60 beta=99.60 gamma=120.01
Sites, in units of the cell vectors:
Nd 0.1684 0.8316 0.5000
Nd 0.8316 0.1684 0.5000
Nd 0.5000 0.5000 0.5000
Th 0.3337 0.6663 0.0000
Th 0.6663 0.3337 0.0000
Pa 0.0000 0.0000 0.0000
P 0.9198 0.5959 0.7592
P 0.7568 0.7568 0.2408
P 0.0802 0.4041 0.2408
P 0.5959 0.9198 0.7592
P 0.2432 0.2432 0.7592
P 0.4041 0.0802 0.2408